[1]
A relaxed AgN2Cl crystal, computed with GGA-PBE.

Output
Raw formation energy in kJ per mole of atoms: -18.4
Excess energy over the best structure of this formula in the dataset in meV per atom: 0
Energy in eV/cell: -22.11
Theoretical density in g cm⁻³: 2.4

a = 4.3702 Å, b = 4.3708 Å, c = 7.5891 Å
α = 75.66°, β = 76.38°, γ = 60.07°
Last column: nearest neighbours and their distance in Å.
Atoms (fractional coordinates):
Ag: 0.0000 0.0000 0.0000  3 Cl 2.52
N: 0.0589 0.0487 0.5407  1 N 1.11
N: 0.9718 0.9551 0.4474  1 N 1.11
Cl: 0.6664 0.6661 0.0004  3 Ag 2.52

***

[2]
A relaxed PuS crystal, computed with GGA-PBE.

Output
Raw formation energy in kJ per mole of atoms: -169.7
Energy in eV/cell: -87.90
Theoretical density in g cm⁻³: 10.4

a = 5.6038 Å, b = 5.6038 Å, c = 5.6038 Å
α = 90.00°, β = 90.00°, γ = 90.00°
Last column: nearest neighbours and their distance in Å.
Atoms (fractional coordinates):
Pu: 0.0000 0.0000 0.0000  6 S 2.80
Pu: 0.0000 0.5000 0.5000  6 S 2.80
Pu: 0.5000 0.0000 0.5000  6 S 2.80
Pu: 0.5000 0.5000 0.0000  6 S 2.80
S: 0.0000 0.0000 0.5000  6 Pu 2.80
S: 0.0000 0.5000 0.0000  6 Pu 2.80
S: 0.5000 0.0000 0.0000  6 Pu 2.80
S: 0.5000 0.5000 0.5000  6 Pu 2.80

***

[3]
A relaxed Tb4YTm3S8 crystal, computed with GGA-PBE.

Output
Raw formation energy in kJ per mole of atoms: -190.5
Energy in eV/cell: -103.02
Theoretical density in g cm⁻³: 7.4

a = 7.8039 Å, b = 7.8039 Å, c = 7.8039 Å
α = 59.77°, β = 59.77°, γ = 59.77°
Last column: nearest neighbours and their distance in Å.
Atoms (fractional coordinates):
Tb: 0.0000 0.0000 0.0000  6 S 2.76
Tb: 0.0000 0.5000 0.5000  6 S 2.79
Tb: 0.5000 0.0000 0.5000  6 S 2.79
Tb: 0.5000 0.5000 0.0000  6 S 2.79
Y: 0.5000 0.5000 0.5000  6 S 2.75
Tm: 0.0000 0.0000 0.5000  6 S 2.72
Tm: 0.0000 0.5000 0.0000  6 S 2.72
Tm: 0.5000 0.0000 0.0000  6 S 2.72
S: 0.2444 0.7496 0.7496  2 Tm 2.72, 1 Y 2.75, 3 Tb 2.76-2.79
S: 0.2470 0.2470 0.2470  3 Tm 2.72, 3 Tb 2.79
S: 0.2504 0.2504 0.7556  2 Tm 2.72, 1 Y 2.75, 3 Tb 2.76-2.79
S: 0.2504 0.7556 0.2504  2 Tm 2.72, 1 Y 2.75, 3 Tb 2.76-2.79
S: 0.7496 0.2444 0.7496  2 Tm 2.72, 1 Y 2.75, 3 Tb 2.76-2.79
S: 0.7496 0.7496 0.2444  2 Tm 2.72, 1 Y 2.75, 3 Tb 2.76-2.79
S: 0.7530 0.7530 0.7530  3 Tm 2.72, 3 Tb 2.79
S: 0.7556 0.2504 0.2504  2 Tm 2.72, 1 Y 2.75, 3 Tb 2.76-2.79

***

[4]
A relaxed Ba2Zn12Ga7 crystal, computed with GGA-PBE.

Output
Energy in eV/cell: -43.23
Theoretical density in g cm⁻³: 6.3
Energy relative to the elements in eV per atom: -0.138

a = 10.2833 Å, b = 10.2833 Å, c = 4.4667 Å
α = 90.00°, β = 90.00°, γ = 120.00°
Last column: nearest neighbours and their distance in Å.
Atoms (fractional coordinates):
Ba: 0.3333 0.6667 0.2422  9 Zn 3.36-3.67, 9 Ga 3.41-3.62
Ba: 0.6667 0.3333 0.7578  9 Zn 3.36-3.67, 9 Ga 3.41-3.62
Zn: 0.0987 0.3922 0.7085  4 Ga 2.62-2.76, 3 Zn 2.62-2.79
Zn: 0.1245 0.2549 0.1897  5 Zn 2.62-2.83, 3 Ga 2.66-2.92
Zn: 0.1304 0.8755 0.1897  5 Zn 2.62-2.83, 3 Ga 2.66-2.92
Zn: 0.2549 0.1304 0.8103  5 Zn 2.62-2.83, 3 Ga 2.66-2.92
Zn: 0.2935 0.9013 0.7085  4 Ga 2.62-2.76, 3 Zn 2.62-2.79
Zn: 0.3922 0.2935 0.2915  4 Ga 2.62-2.76, 3 Zn 2.62-2.79
Zn: 0.6078 0.7065 0.7085  4 Ga 2.62-2.76, 3 Zn 2.62-2.79
Zn: 0.7065 0.0987 0.2915  4 Ga 2.62-2.76, 3 Zn 2.62-2.79
Zn: 0.7451 0.8696 0.1897  5 Zn 2.62-2.83, 3 Ga 2.66-2.92
Zn: 0.8696 0.1245 0.8103  5 Zn 2.62-2.83, 3 Ga 2.66-2.92
Zn: 0.8755 0.7451 0.8103  5 Zn 2.62-2.83, 3 Ga 2.66-2.92
Zn: 0.9013 0.6078 0.2915  4 Ga 2.62-2.76, 3 Zn 2.62-2.79
Ga: 0.0000 0.0000 0.5000  6 Zn 2.66
Ga: 0.0556 0.6286 0.7725  6 Zn 2.62-2.92
Ga: 0.3714 0.4269 0.7725  6 Zn 2.62-2.92
Ga: 0.4269 0.0556 0.2275  6 Zn 2.62-2.92
Ga: 0.5731 0.9444 0.7725  6 Zn 2.62-2.92
Ga: 0.6286 0.5731 0.2275  6 Zn 2.62-2.92
Ga: 0.9444 0.3714 0.2275  6 Zn 2.62-2.92

***

[5]
A relaxed Ho4GaRh2 crystal, computed with GGA-PBE.

Output
Excess energy over the best structure of this formula in the dataset in meV per atom: 38
Energy in eV/cell: -40.47
Theoretical density in g cm⁻³: 9.5
Energy relative to the elements in eV per atom: -0.633

a = 4.8415 Å, b = 4.8415 Å, c = 6.9711 Å
α = 90.00°, β = 90.00°, γ = 90.00°
Last column: nearest neighbours and their distance in Å.
Atoms (fractional coordinates):
Ho: 0.0000 0.5000 0.2455  4 Rh 2.96-3.00, 2 Ga 3.00
Ho: 0.0000 0.5000 0.7545  4 Rh 2.96-3.00, 2 Ga 3.00
Ho: 0.5000 0.0000 0.2455  4 Rh 2.96-3.00, 2 Ga 3.00
Ho: 0.5000 0.0000 0.7545  4 Rh 2.96-3.00, 2 Ga 3.00
Ga: 0.0000 0.0000 0.5000  8 Ho 3.00
Rh: 0.0000 0.0000 0.0000  8 Ho 2.96
Rh: 0.5000 0.5000 0.5000  8 Ho 3.00

***

[6]
A relaxed TeRh2Pb crystal, computed with GGA-PBE.

Output
Raw formation energy in kJ per mole of atoms: -12.7
Excess energy over the best structure of this formula in the dataset in meV per atom: 103
Energy in eV/cell: -22.08
Theoretical density in g cm⁻³: 11.3

a = 3.7223 Å, b = 3.7223 Å, c = 5.7384 Å
α = 90.00°, β = 90.00°, γ = 90.00°
Last column: nearest neighbours and their distance in Å.
Atoms (fractional coordinates):
Te: 0.0000 0.0000 0.0000  5 Rh 2.57-2.73
Rh: 0.0000 0.0000 0.5524  1 Te 2.57, 4 Pb 2.80
Rh: 0.5000 0.5000 0.8731  4 Te 2.73, 2 Pb 2.78-2.95
Pb: 0.5000 0.5000 0.3880  6 Rh 2.78-2.95

***

[7]
A relaxed GeBiSe2 crystal, computed with GGA-PBE.

Output
Raw formation energy in kJ per mole of atoms: -14.7
Excess energy over the best structure of this formula in the dataset in meV per atom: 17
Energy in eV/cell: -48.23
Theoretical density in g cm⁻³: 7.2

a = 3.8841 Å, b = 3.8841 Å, c = 23.2041 Å
α = 90.00°, β = 90.00°, γ = 120.00°
Last column: nearest neighbours and their distance in Å.
Atoms (fractional coordinates):
Ge: 0.0000 0.0000 0.0000  6 Se 2.74-2.89
Ge: 0.3333 0.6667 0.6667  6 Se 2.74-2.89
Ge: 0.6667 0.3333 0.3333  6 Se 2.74-2.89
Bi: 0.0000 0.0000 0.8310  6 Se 3.00-3.25
Bi: 0.3333 0.6667 0.4976  6 Se 3.00-3.25
Bi: 0.6667 0.3333 0.1643  6 Se 3.00-3.25
Se: 0.0000 0.0000 0.4116  3 Ge 2.89, 3 Bi 3.00
Se: 0.0000 0.0000 0.5990  3 Ge 2.74
Se: 0.3333 0.6667 0.0782  3 Ge 2.89, 3 Bi 3.00
Se: 0.3333 0.6667 0.2656  3 Ge 2.74
Se: 0.6667 0.3333 0.7449  3 Ge 2.89, 3 Bi 3.00
Se: 0.6667 0.3333 0.9323  3 Ge 2.74

***

[8]
A relaxed Li3PuPa2S6 crystal, computed with GGA-PBE.

Output
Raw formation energy in kJ per mole of atoms: -146.0
Energy in eV/cell: -81.99
Theoretical density in g cm⁻³: 6.2

a = 6.7539 Å, b = 6.7539 Å, c = 6.6523 Å
α = 99.75°, β = 99.75°, γ = 120.00°
Last column: nearest neighbours and their distance in Å.
Atoms (fractional coordinates):
Li: 0.0000 0.0000 0.0000  6 S 2.67-2.74
Li: 0.3338 0.6662 0.0000  6 S 2.68-2.74
Li: 0.6662 0.3338 0.0000  6 S 2.68-2.74
Pu: 0.5000 0.5000 0.5000  6 S 2.80-2.81
Pa: 0.1660 0.8340 0.5000  6 S 2.75-2.76
Pa: 0.8340 0.1660 0.5000  6 S 2.75-2.76
S: 0.0745 0.4146 0.2432  3 Li 2.68-2.74, 2 Pa 2.75, 1 Pu 2.80
S: 0.2473 0.2473 0.7602  3 Li 2.67-2.72, 2 Pa 2.76, 1 Pu 2.81
S: 0.4146 0.0745 0.2432  3 Li 2.68-2.74, 2 Pa 2.75, 1 Pu 2.80
S: 0.5854 0.9255 0.7568  3 Li 2.68-2.74, 2 Pa 2.75, 1 Pu 2.80
S: 0.7527 0.7527 0.2398  3 Li 2.67-2.72, 2 Pa 2.76, 1 Pu 2.81
S: 0.9255 0.5854 0.7568  3 Li 2.68-2.74, 2 Pa 2.75, 1 Pu 2.80

***

[9]
A relaxed Ce2GeAs4 crystal, computed with GGA-PBE.

Output
Energy in eV/cell: -40.21
Theoretical density in g cm⁻³: 6.5
Energy relative to the elements in eV per atom: -0.733

a = 3.9966 Å, b = 3.9966 Å, c = 10.4745 Å
α = 90.00°, β = 90.00°, γ = 90.00°
Last column: nearest neighbours and their distance in Å.
Atoms (fractional coordinates):
Ce: 0.0000 0.5000 0.2214  8 As 3.01-3.06
Ce: 0.5000 0.0000 0.7786  8 As 3.01-3.06
Ge: 0.0000 0.0000 0.5000  4 As 2.74
As: 0.0000 0.0000 0.0000  4 As 2.83, 4 Ce 3.06
As: 0.0000 0.5000 0.6792  2 Ge 2.74, 4 Ce 3.01
As: 0.5000 0.0000 0.3208  2 Ge 2.74, 4 Ce 3.01
As: 0.5000 0.5000 0.0000  4 As 2.83, 4 Ce 3.06

***

[10]
A relaxed In4Cu5 crystal, computed with GGA-PBE.

Output
Excess energy over the best structure of this formula in the dataset in meV per atom: 0
Energy in eV/cell: -30.40
Theoretical density in g cm⁻³: 8.2
Energy relative to the elements in eV per atom: 0.115

a = 6.5205 Å, b = 6.5205 Å, c = 6.5205 Å
α = 95.63°, β = 95.63°, γ = 143.49°
Last column: nearest neighbours and their distance in Å.
Atoms (fractional coordinates):
In: 0.0000 0.3063 0.3063  5 Cu 2.68-2.79
In: 0.0000 0.6937 0.6937  5 Cu 2.68-2.79
In: 0.3063 0.0000 0.3063  5 Cu 2.68-2.79
In: 0.6937 0.0000 0.6937  5 Cu 2.68-2.79
Cu: 0.0000 0.0000 0.0000  4 In 2.68, 8 Cu 2.75
Cu: 0.3508 0.3508 0.7016  4 Cu 2.61-2.75, 4 In 2.79
Cu: 0.3508 0.6492 0.0000  4 Cu 2.61-2.75, 4 In 2.79
Cu: 0.6492 0.3508 0.0000  4 Cu 2.61-2.75, 4 In 2.79
Cu: 0.6492 0.6492 0.2984  4 Cu 2.61-2.75, 4 In 2.79

***

[11]
A relaxed ScFeSn3 crystal, computed with GGA-PBE.

Output
Excess energy over the best structure of this formula in the dataset in meV per atom: 0
Energy in eV/cell: -25.81
Theoretical density in g cm⁻³: 6.4
Energy relative to the elements in eV per atom: 0.199

a = 4.9212 Å, b = 4.9212 Å, c = 4.9212 Å
α = 90.00°, β = 90.00°, γ = 90.00°
Last column: nearest neighbours and their distance in Å.
Atoms (fractional coordinates):
Sc: 0.0000 0.0000 0.0000  12 Sn 3.48
Fe: 0.5000 0.5000 0.5000  6 Sn 2.46
Sn: 0.0000 0.5000 0.5000  2 Fe 2.46
Sn: 0.5000 0.0000 0.5000  2 Fe 2.46
Sn: 0.5000 0.5000 0.0000  2 Fe 2.46

***

[12]
A relaxed BeVHgMo2 crystal, computed with GGA-PBE.

Output
Energy in eV/cell: -24.18
Theoretical density in g cm⁻³: 7.5
Energy relative to the elements in eV per atom: 2.126

a = 5.0016 Å, b = 5.0016 Å, c = 4.0003 Å
α = 90.00°, β = 90.00°, γ = 90.00°
Last column: nearest neighbours and their distance in Å.
Atoms (fractional coordinates):
Be: 0.0000 0.0000 0.0000  2 Hg 2.00
V: 0.5000 0.5000 0.0000  8 Mo 3.20, 4 Be 3.54
Hg: 0.0000 0.0000 0.5000  2 Be 2.00
Mo: 0.0000 0.5000 0.5000  2 Hg 2.50
Mo: 0.5000 0.0000 0.5000  2 Hg 2.50

***

Q: Which formula does entry 8 have?
A: Li3PuPa2S6

***

Q: Among the records above, which one has the lowest energy?
A: Tb4YTm3S8

***

Q: Look up the theoretical density of the fourth one.
A: 6.3 g cm⁻³